No. 1
Density functional theory data (PBE) for RbCdHBr2 after structural relaxation.

a b c (Å): 5.8669 5.8669 3.9062
angles (deg): 90.00 90.00 90.00
Space group P4/mmm (No. 123)
Unique sites:
Rb: 0.0000 0.0000 0.0000 x1
Cd: 0.5000 0.5000 0.5000 x1
H: 0.5000 0.5000 0.0000 x1
Br: 0.0000 0.5000 0.5000 x2

Computed properties:
magnetic moment: 0.0000 μB/atom
VASP energy: -2.572 eV/atom



No. 2
Density functional theory data (PBE) for ZrTi6Ni12 after structural relaxation.

a b c (Å): 11.2668 11.2668 7.2991
angles (deg): 90.00 90.00 120.00
Space group R-3m (No. 166, hexagonal axes)
Unique sites:
Zr: 0.0000 0.0000 0.0000 x3
Ti: 0.0291 0.5146 0.2130 x18
Ni: 0.0000 0.3921 0.5000 x18
Ni: 0.0714 0.1428 0.3105 x18

Computed properties:
magnetic moment: 0.0000 μB/atom
DFT formation energy: -0.10 eV/atom



No. 3
Density functional theory data (PBE) for PrHoBi after structural relaxation.

a b c (Å): 3.4995 6.0596 18.4935
angles (deg): 90.00 90.00 90.00
Space group Immm (No. 71)
Unique sites:
Pr: 0.0000 0.0000 0.1678 x4
Ho: 0.0000 0.2558 0.5000 x4
Bi: 0.0000 0.0000 0.3455 x4

Computed properties:
magnetic moment: 0.0602 μB/atom
DFT formation energy: -0.31 eV/atom



No. 4
Density functional theory data (PBE) for YTcCl after structural relaxation.

a b c (Å): 3.1996 3.1996 13.3937
angles (deg): 90.00 90.00 90.00
Space group I4mm (No. 107)
Unique sites:
Y: 0.0000 0.0000 0.0000 x2
Tc: 0.0000 0.0000 0.3534 x2
Cl: 0.0000 0.0000 0.6395 x2

Computed properties:
magnetic moment: 0.6194 μB/atom
energy above the lowest structure with this stoichiometry: 0.9899 eV per atom
E_form (uncorrected): -0.077 eV per atom



No. 5
Density functional theory data (PBE) for Ba2Ca2Ni after structural relaxation.

a b c (Å): 7.6221 7.6221 6.7266
angles (deg): 90.00 90.00 90.00
Space group P4/mbm (No. 127)
Unique sites:
Ba: 0.1824 0.3176 0.0000 x4
Ca: 0.1732 0.6732 0.5000 x4
Ni: 0.0000 0.0000 0.5000 x2

Computed properties:
magnetic moment: 0.0000 μB/atom
DFT formation energy: 0.20 eV/atom



No. 6
Density functional theory data (PBE) for Tl3Ga5Hg12 after structural relaxation.

a b c (Å): 16.9533 16.9533 16.9533
angles (deg): 90.00 90.00 90.00
Space group Ia-3d (No. 230)
Unique sites:
Tl: 0.0000 0.2500 0.1250 x24
Ga: 0.0000 0.0000 0.0000 x16
Ga: 0.0000 0.2500 0.3750 x24
Hg: 0.0321 0.0704 0.6443 x96

Computed properties:
magnetic moment: 0.0000 μB/atom
DFT formation energy: 0.15 eV/atom



No. 7
Density functional theory data (PBE) for MnGePHCN after structural relaxation.

a b c (Å): 3.0823 4.9885 5.1573
angles (deg): 98.99 94.90 103.78
Space group P1 (No. 1)
Unique sites:
Mn: 0.0000 0.0000 0.0000 x1
Ge: 0.3886 0.7121 0.2283 x1
P: 0.4480 0.9975 0.6683 x1
H: 0.6177 0.5098 0.6872 x1
C: 0.4594 0.3173 0.5399 x1
N: 0.3034 0.3315 0.3003 x1

Computed properties:
magnetic moment: 0.4786 μB/atom
energy above the lowest structure with this stoichiometry: 0.1038 eV per atom



No. 8
Density functional theory data (PBE) for KZr2Hg after structural relaxation.

a b c (Å): 4.3159 4.3159 23.3187
angles (deg): 90.00 90.00 90.00
Space group I-42d (No. 122)
Unique sites:
K: 0.0000 0.0000 0.0000 x4
Zr: 0.2261 0.2500 0.6250 x8
Hg: 0.0000 0.0000 0.5000 x4

Computed properties:
magnetic moment: 0.0000 μB/atom
DFT formation energy: 0.67 eV/atom



No. 9
Density functional theory data (PBE) for Rb2HfTi after structural relaxation.

a b c (Å): 13.5885 13.5885 4.9018
angles (deg): 90.00 90.00 90.00
Space group I-42d (No. 122)
Unique sites:
Rb: 0.0964 0.7500 0.1250 x8
Hf: 0.0000 0.0000 0.5000 x4
Ti: 0.0000 0.0000 0.0000 x4

Computed properties:
magnetic moment: 0.4428 μB/atom
DFT formation energy: 1.49 eV/atom
energy above the lowest structure with this stoichiometry: 0.0000 eV per atom



No. 10
Density functional theory data (PBE) for KBaSe2 after structural relaxation.

a b c (Å): 6.9927 8.3308 4.2075
angles (deg): 90.00 90.00 90.00
Space group Cmmm (No. 65)
Unique sites:
K: 0.0000 0.0000 0.0000 x2
Ba: 0.0000 0.5000 0.0000 x2
Se: 0.2500 0.2500 0.5000 x4

Computed properties:
magnetic moment: 0.0000 μB/atom
E_form (uncorrected): -1.302 eV per atom



No. 11
Density functional theory data (PBE) for TbCePm2Bi4 after structural relaxation.

a b c (Å): 7.8967 4.5653 7.9049
angles (deg): 90.00 109.44 90.00
Space group P2/m (No. 10)
Unique sites:
Tb: 0.0000 0.0000 0.0000 x1
Ce: 0.5000 0.5000 0.0000 x1
Pm: 0.0000 0.5000 0.5000 x1
Pm: 0.5000 0.0000 0.5000 x1
Bi: 0.2467 0.5000 0.2457 x2
Bi: 0.2486 0.0000 0.7523 x2

Computed properties:
magnetic moment: 0.0970 μB/atom
DFT formation energy: -0.89 eV/atom



No. 12
Density functional theory data (PBE) for TiV3Bi after structural relaxation.

a b c (Å): 4.5172 4.5172 4.5172
angles (deg): 90.00 90.00 90.00
Space group Pm-3m (No. 221)
Unique sites:
Ti: 0.0000 0.0000 0.0000 x1
V: 0.0000 0.0000 0.5000 x3
Bi: 0.5000 0.5000 0.5000 x1

Computed properties:
magnetic moment: 0.0000 μB/atom
DFT formation energy: 1.06 eV/atom
energy above the lowest structure with this stoichiometry: 0.0000 eV per atom



No. 13
Density functional theory data (PBE) for Na4Zn2Hg5 after structural relaxation.

a b c (Å): 8.0469 3.6079 9.5739
angles (deg): 90.00 92.89 90.00
Space group P2/m (No. 10)
Unique sites:
Na: 0.2117 0.0000 0.1371 x2
Na: 0.2694 0.0000 0.6260 x2
Zn: 0.0606 0.5000 0.3802 x2
Hg: 0.1261 0.5000 0.8721 x2
Hg: 0.4012 0.5000 0.3613 x2
Hg: 0.5000 0.5000 0.0000 x1

Computed properties:
magnetic moment: 0.0000 μB/atom
DFT formation energy: -0.14 eV/atom



No. 14
Density functional theory data (PBE) for SiAsPS2 after structural relaxation.

a b c (Å): 4.4706 4.4706 4.5672
angles (deg): 90.00 90.00 90.00
Space group P4/mmm (No. 123)
Unique sites:
Si: 0.0000 0.0000 0.0000 x1
As: 0.5000 0.5000 0.5000 x1
P: 0.0000 0.0000 0.5000 x1
S: 0.0000 0.5000 0.0000 x2

Computed properties:
magnetic moment: 0.0000 μB/atom
energy above the lowest structure with this stoichiometry: 0.0000 eV per atom
E_form (uncorrected): 0.564 eV per atom



No. 15
Density functional theory data (PBE) for Th2Si4Rh5 after structural relaxation.

a b c (Å): 5.6559 9.7116 13.9618
angles (deg): 90.00 90.00 90.00
Space group Fmmm (No. 69)
Unique sites:
Th: 0.0000 0.0000 0.1351 x8
Si: 0.0000 0.1488 0.3666 x16
Rh: 0.0000 0.0000 0.5000 x4
Rh: 0.2500 0.2500 0.0000 x8
Rh: 0.2500 0.2500 0.2500 x8

Computed properties:
magnetic moment: 0.0000 μB/atom
E_form (uncorrected): -0.960 eV per atom



No. 16
Density functional theory data (PBE) for Ce5Ho12Al3 after structural relaxation.

a b c (Å): 17.1651 17.1651 17.1651
angles (deg): 90.00 90.00 90.00
Space group Ia-3d (No. 230)
Unique sites:
Ce: 0.0000 0.0000 0.0000 x16
Ce: 0.0000 0.2500 0.3750 x24
Ho: 0.0135 0.0776 0.6553 x96
Al: 0.0000 0.2500 0.1250 x24

Computed properties:
magnetic moment: 0.3117 μB/atom
DFT formation energy: 0.84 eV/atom



No. 17
Density functional theory data (PBE) for LaPAu2 after structural relaxation.

a b c (Å): 4.1271 4.1271 5.2195
angles (deg): 90.00 90.00 90.00
Space group P4/mmm (No. 123)
Unique sites:
La: 0.0000 0.0000 0.0000 x1
P: 0.5000 0.5000 0.0000 x1
Au: 0.0000 0.5000 0.5000 x2

Computed properties:
magnetic moment: 0.0000 μB/atom
DFT formation energy: -0.57 eV/atom



No. 18
Density functional theory data (PBE) for TbCePtAu after structural relaxation.

a b c (Å): 4.7040 3.8071 10.7590
angles (deg): 90.00 90.00 90.00
Space group Amm2 (No. 38)
Unique sites:
Tb: 0.0000 0.0000 0.0000 x2
Ce: 0.5000 0.0000 0.2748 x2
Pt: 0.5000 0.0000 0.5459 x2
Au: 0.0000 0.0000 0.7249 x2

Computed properties:
magnetic moment: 0.1743 μB/atom
DFT formation energy: -0.95 eV/atom
energy above the lowest structure with this stoichiometry: 0.0000 eV per atom